Record 1
Computed, not measured: YRhPb2 after structural relaxation at the PBE-GGA level of DFT.

```
YRhPb2
1.0
6.020 0.003 -0.016
2.529 5.462 0.016
-3.534 -3.891 2.934
Pb Rh Y
2 1 1
Direct
0.967 0.967 0.000 Pb
0.533 0.533 0.000 Pb
0.750 0.250 0.500 Rh
0.250 0.750 0.500 Y
```

Results
- SG = Immm, No. 71
- calculated formation energy (eV/atom) = -0.27

---

Record 2
Computed, not measured: Tl2Br3 after structural relaxation at the PBE-GGA level of DFT.

```
Tl2Br3
1.0
-6.314 5.406 5.367
-9.007 3.610 1.936
-7.994 1.015 5.742
Tl Br
2 3
Direct
0.400 0.400 0.400 Tl
0.600 0.600 0.600 Tl
0.000 0.000 0.000 Br
0.784 0.784 0.784 Br
0.216 0.216 0.216 Br
```

Results
- energy relative to the elements, uncorrected (eV/f.u.) = -3.08
- SG = R-3m, No. 166
- energy above the lowest structure with this stoichiometry (meV/atom) = 30

---

Record 3
Computed, not measured: Y2SbPd after structural relaxation at the PBE-GGA level of DFT.

```
Y2SbPd
1.0
-2.530 -1.709 -2.369
3.169 -3.859 -0.600
-2.101 -2.335 3.928
Y Sb Pd
2 1 1
Direct
0.000 0.000 0.500 Y
0.000 0.500 0.000 Y
0.500 0.500 0.500 Sb
0.500 0.000 0.000 Pd
```

Results
- energy relative to the elements, uncorrected (eV/f.u.) = -3.32
- SG = P4/mmm, No. 123

---

Record 4
Computed, not measured: AcZnRh after structural relaxation at the PBE-GGA level of DFT.

```
AcZnRh
1.0
4.251 0.000 0.000
0.000 4.419 0.000
0.000 -2.209 3.827
Ac Rh Zn
1 1 1
Direct
0.666 0.333 0.667 Ac
0.167 0.667 0.333 Rh
0.166 0.000 0.000 Zn
```

Results
- SG = P-6m2, No. 187
- calculated formation energy (eV/atom) = -0.57
- energy above the lowest structure with this stoichiometry (meV/atom) = 25

---

Record 5
Computed, not measured: La8Ni2Pb after structural relaxation at the PBE-GGA level of DFT.

```
La8Ni2Pb
1.0
5.321 0.176 -0.813
-1.758 7.556 -3.259
0.280 -0.140 8.409
La Ni Pb
8 2 1
Direct
0.572 0.308 0.076 La
0.572 0.076 0.308 La
0.202 0.401 0.401 La
0.995 0.274 0.758 La
0.995 0.758 0.274 La
0.788 0.607 0.607 La
0.450 0.941 0.682 La
0.450 0.682 0.941 La
0.484 0.685 0.300 Ni
0.484 0.300 0.685 Ni
0.007 0.002 0.002 Pb
```

Results
- SG = Cm, No. 8
- calculated formation energy (eV/atom) = -0.19

---

Record 6
Computed, not measured: BaSrCo2H after structural relaxation at the PBE-GGA level of DFT.

```
BaSrCo2H
1.0
5.621 0.000 0.000
0.000 4.581 0.000
0.000 0.000 5.621
Sr Co Ba H
1 2 1 1
Direct
0.000 0.000 0.000 Sr
0.000 0.000 0.500 Co
0.500 0.000 0.000 Co
0.500 0.500 0.500 Ba
0.000 0.500 0.000 H
```

Results
- SG = P4/mmm, No. 123
- energy above the lowest structure with this stoichiometry (meV/atom) = 139